(1)
ZrPb3Br | PBE-GGA | optimized geometry

Computed properties:
Theoretical density (g/cm3): 7.593
Total energy (eV per atom): -3.490

Unit cell a=5.576 b=5.576 c=5.576 alpha=90.00 beta=90.00 gamma=90.00
Positions (direct):
1 Pb 0.000 0.500 0.000
2 Pb 0.000 0.000 0.500
3 Pb 0.500 0.000 0.000
4 Br 0.000 0.000 0.000
5 Zr 0.500 0.500 0.500



(2)
Tl2SiS | PBE-GGA | optimized geometry

Computed properties:
Theoretical density (g/cm3): 8.107
Total energy (eV per atom): -3.135

Unit cell a=5.140 b=5.140 c=5.140 alpha=60.00 beta=60.00 gamma=60.00
Positions (direct):
1 Tl 0.250 0.250 0.250
2 Tl 0.750 0.750 0.750
3 Si 0.000 0.000 0.000
4 S 0.500 0.500 0.500



(3)
BaHgTeN2 | PBE-GGA | optimized geometry

Computed properties:
Theoretical density (g/cm3): 4.188
Total energy (eV per atom): -3.090

Unit cell a=5.216 b=5.216 c=7.192 alpha=90.00 beta=90.00 gamma=90.00
Positions (direct):
1 N 0.000 0.500 0.000
2 N 0.500 0.000 0.000
3 Te 0.000 0.000 0.500
4 Hg 0.500 0.500 0.500
5 Ba 0.000 0.000 0.000



(4)
RbMgTl2Cd | PBE-GGA | optimized geometry

Computed properties:
Theoretical density (g/cm3): 5.690
Energy of formation from the pure elements (meV/atom): 85.7

Unit cell a=5.686 b=5.686 c=5.695 alpha=90.00 beta=90.00 gamma=90.00
Positions (direct):
1 Tl 0.000 0.500 0.000
2 Tl 0.500 0.000 0.000
3 Mg 0.000 0.000 0.000
4 Rb 0.500 0.500 0.500
5 Cd 0.000 0.000 0.500



(5)
Sm3Ho4Er3 | PBE-GGA | optimized geometry

Computed properties:
Theoretical density (g/cm3): 8.340
Energy of formation from the pure elements (meV/atom): 98.1

Unit cell a=3.670 b=9.353 c=9.353 alpha=90.21 beta=90.00 gamma=90.00
Positions (direct):
1 Sm 0.500 0.827 0.173
2 Sm 0.500 0.326 0.327
3 Sm 0.500 0.673 0.674
4 Ho 0.000 0.626 0.374
5 Ho 0.000 0.373 0.627
6 Ho 0.000 0.877 0.873
7 Ho 0.000 0.127 0.123
8 Er 0.000 0.496 0.999
9 Er 0.000 0.001 0.504
10 Er 0.500 0.173 0.827



(6)
NdErAlAg | PBE-GGA | optimized geometry

Computed properties:
Theoretical density (g/cm3): 7.511
Energy of formation from the pure elements (meV/atom): -346.1

Unit cell a=3.590 b=3.590 c=7.658 alpha=90.00 beta=90.00 gamma=90.00
Positions (direct):
1 Nd 0.000 0.000 0.850
2 Er 0.000 0.000 0.353
3 Al 0.500 0.500 0.590
4 Ag 0.500 0.500 0.135



(7)
Sr2CaSc2 | PBE-GGA | optimized geometry

Computed properties:
Theoretical density (g/cm3): 2.615
Energy of formation from the pure elements (meV/atom): 346.3

Unit cell a=10.000 b=10.000 c=3.876 alpha=90.00 beta=90.00 gamma=90.00
Positions (direct):
1 Sc 0.393 0.893 0.000
2 Sc 0.893 0.607 0.000
3 Sc 0.607 0.107 0.000
4 Sc 0.107 0.393 0.000
5 Sr 0.183 0.683 0.500
6 Sr 0.683 0.817 0.500
7 Sr 0.817 0.317 0.500
8 Sr 0.317 0.183 0.500
9 Ca 0.000 0.000 0.000
10 Ca 0.500 0.500 0.000



(8)
TiAgIN2 | PBE-GGA | optimized geometry

Computed properties:
Theoretical density (g/cm3): 4.359
Total energy (eV per atom): -5.318

Unit cell a=3.917 b=3.917 c=7.713 alpha=90.00 beta=90.00 gamma=90.00
Positions (direct):
1 I 0.500 0.500 0.500
2 N 0.000 0.500 0.000
3 N 0.500 0.000 0.000
4 Ag 0.000 0.000 0.500
5 Ti 0.000 0.000 0.000



Copy entry 6 word for word.
NdErAlAg | PBE-GGA | optimized geometry

Computed properties:
Theoretical density (g/cm3): 7.511
Energy of formation from the pure elements (meV/atom): -346.1

Unit cell a=3.590 b=3.590 c=7.658 alpha=90.00 beta=90.00 gamma=90.00
Positions (direct):
1 Nd 0.000 0.000 0.850
2 Er 0.000 0.000 0.353
3 Al 0.500 0.500 0.590
4 Ag 0.500 0.500 0.135



Number 6 is which compound? NdErAlAg



theoretical density of number 1 (ZrPb3Br)? 7.593 g/cm3



Please write out number 2 again, unchanged.
Tl2SiS | PBE-GGA | optimized geometry

Computed properties:
Theoretical density (g/cm3): 8.107
Total energy (eV per atom): -3.135

Unit cell a=5.140 b=5.140 c=5.140 alpha=60.00 beta=60.00 gamma=60.00
Positions (direct):
1 Tl 0.250 0.250 0.250
2 Tl 0.750 0.750 0.750
3 Si 0.000 0.000 0.000
4 S 0.500 0.500 0.500